1.
## Rb2HfB (SCAN)

Data for Rb2HfB at its PBEsol-relaxed geometry.

Results
- Size of the total moment: 0.00 Bohr magnetons per cell
- Total DFT energy (no corrections): -26.85 eV/atom
- Formation energy from the elements: 1.044 eV/atom

a b c (Å): 4.3575 9.7256 9.7256
angles (deg): 87.12 77.05 77.05
Closest atoms and distances in Å follow each position.
Atoms (fractional coordinates):
Rb1 0.3750 0.2985 0.2015  2 B 3.46, 2 Hf 3.78
Rb2 0.4235 0.2015 0.7015  2 B 3.46, 2 Hf 3.78
Rb3 0.8750 0.7015 0.7985  2 B 3.46, 2 Hf 3.78
Rb4 0.3265 0.7985 0.2985  2 B 3.46, 2 Hf 3.78
B1 0.2500 0.5000 0.5000  2 Hf 2.18
B2 0.5000 0.0000 0.0000  2 Hf 2.18
Hf1 0.0000 0.0000 0.0000  2 B 2.18
Hf2 0.7500 0.5000 0.5000  2 B 2.18

***

2.
## Cr3Tc (SCAN)

Data for Cr3Tc at its PBEsol-relaxed geometry.

Results
- Size of the total moment: 0.00 Bohr magnetons per cell
- Total DFT energy (no corrections): -22.52 eV/atom
- Formation energy from the elements: 0.033 eV/atom

a b c (Å): 2.5215 4.0401 4.7711
angles (deg): 90.00 100.28 90.00
Closest atoms and distances in Å follow each position.
Atoms (fractional coordinates):
Cr1 0.7505 0.0000 0.7607  6 Cr 2.40-2.58, 2 Tc 2.51
Cr2 0.2495 0.0000 0.2393  6 Cr 2.40-2.58, 2 Tc 2.51
Cr3 0.5000 0.5000 0.0000  6 Cr 2.46-2.52, 2 Tc 2.49
Tc1 0.0000 0.5000 0.5000  6 Cr 2.49-2.51, 2 Tc 2.52

***

Question: size of the total moment of number 1 (Rb2HfB)?
Answer: 0.00 Bohr magnetons per cell